(1)
## Ac2MgRu (PBE)

Data for crystalline Ac2MgRu at its relaxed geometry.

POSCAR file:
```
Ac2MgRu
1.0
-4.446 -2.551 -1.894
0.334 -3.106 -4.483
-0.412 -5.434 0.404
Mg Ru Ac
1 1 2
Cartesian
0.000 0.000 0.000 Mg
-2.262 -5.545 -2.986 Ru
-1.131 -2.773 -1.493 Ac
-3.394 -8.318 -4.480 Ac
```

magnetic moment	0.000	μB per formula unit
formation energy from the elements	0.07	eV/atom
space group	Fm-3m (225)
E_tot	-4.699	eV per atom
energy relative to the lowest polymorph listed for this composition	0.186	eV/atom


(2)
## Ac7Mg2Ru2 (PBE)

Data for crystalline Ac7Mg2Ru2 at its relaxed geometry.

POSCAR file:
```
Ac7Mg2Ru2
1.0
-1.010 7.540 -1.535
-7.443 -1.050 -0.266
-3.083 0.971 6.791
Mg Ac Ru
2 7 2
Cartesian
-7.224 3.055 0.137 Mg
-4.311 4.405 4.853 Mg
-6.037 5.711 2.094 Ac
-5.499 1.749 2.896 Ac
-2.304 6.157 2.240 Ac
-7.054 2.313 6.276 Ac
-4.481 5.148 -1.285 Ac
0.000 0.000 0.000 Ac
-9.232 1.304 2.750 Ac
-8.343 7.484 3.011 Ru
-3.193 -0.024 1.979 Ru
```

magnetic moment	0.000	μB per formula unit
formation energy from the elements	-0.04	eV/atom
space group	Cmmm (65)
E_tot	-4.633	eV per atom


(3)
## Ac4MgRu2 (PBE)

Data for crystalline Ac4MgRu2 at its relaxed geometry.

POSCAR file:
```
Ac4MgRu2
1.0
-2.428 -4.535 -0.038
2.484 -4.235 -1.536
2.954 -4.572 8.765
Ac Ru Mg
4 2 1
Cartesian
1.856 -9.781 4.122 Ac
1.154 -3.561 3.069 Ac
2.482 -7.219 6.686 Ac
0.529 -6.123 0.505 Ac
2.133 -4.111 6.165 Ru
0.878 -9.231 1.025 Ru
0.000 0.000 0.000 Mg
```

magnetic moment	0.000	μB per formula unit
formation energy from the elements	-0.04	eV/atom
space group	R-3m (166)
E_tot	-5.265	eV per atom


(4)
## Ac4Mg3Ru2 (PBE)

Data for crystalline Ac4Mg3Ru2 at its relaxed geometry.

POSCAR file:
```
Ac4Mg3Ru2
1.0
-2.689 0.195 3.508
-5.631 -3.262 -4.135
5.769 -6.021 1.967
Ac Ru Mg
4 2 3
Cartesian
2.912 -5.573 2.543 Ac
-0.695 -4.143 2.488 Ac
-5.464 -3.514 -1.202 Ac
-1.856 -4.944 -1.148 Ac
0.440 -6.398 0.694 Ru
-2.992 -2.690 0.646 Ru
-2.816 -1.631 -2.067 Mg
-2.107 -7.196 1.576 Mg
-0.445 -1.892 -0.236 Mg
```

magnetic moment	0.000	μB per formula unit
formation energy from the elements	-0.09	eV/atom
space group	C2/m (12)
E_tot	-4.511	eV per atom


(5)
## Ac2MgRu (PBE)

Data for crystalline Ac2MgRu at its relaxed geometry.

POSCAR file:
```
Ac2MgRu
1.0
4.194 0.000 0.000
2.097 3.632 0.000
2.097 1.211 10.623
Ac Ru Mg
2 1 1
Cartesian
6.291 3.632 3.697 Ac
2.097 1.211 6.927 Ac
4.194 2.422 5.312 Ru
0.000 0.000 0.000 Mg
```

magnetic moment	0.000	μB per formula unit
formation energy from the elements	0.13	eV/atom
space group	R-3m (166)
E_tot	-4.640	eV per atom
energy relative to the lowest polymorph listed for this composition	0.244	eV/atom


(6)
## AcMgRu (PBE)

Data for crystalline AcMgRu at its relaxed geometry.

POSCAR file:
```
AcMgRu
1.0
4.474 0.000 0.001
2.237 5.625 0.739
0.003 3.571 6.572
Ru Mg Ac
2 2 2
Cartesian
5.125 5.941 1.663 Ru
5.127 4.022 3.282 Ru
0.652 4.726 6.032 Mg
2.891 3.184 4.745 Mg
2.889 6.479 3.725 Ac
2.889 3.485 1.219 Ac
```

magnetic moment	0.000	μB per formula unit
formation energy from the elements	-0.14	eV/atom
space group	C2/m (12)
E_tot	-5.129	eV per atom
energy relative to the lowest polymorph listed for this composition	0.000	eV/atom


(7)
## Ac2Mg2Ru (PBE)

Data for crystalline Ac2Mg2Ru at its relaxed geometry.

POSCAR file:
```
Ac2Mg2Ru
1.0
-1.046 0.289 3.817
-6.369 -2.406 0.504
4.277 -10.638 4.046
Ac Ru Mg
4 2 4
Cartesian
0.753 -9.783 7.138 Ac
-3.891 -2.973 1.229 Ac
-0.266 -4.037 4.363 Ac
-2.871 -8.719 4.004 Ac
1.536 -7.753 5.134 Ru
-4.674 -5.003 3.233 Ru
-0.683 -1.420 1.990 Mg
-2.455 -11.336 6.378 Mg
0.272 -7.206 2.682 Mg
-3.409 -5.549 5.686 Mg
```

magnetic moment	0.000	μB per formula unit
formation energy from the elements	-0.09	eV/atom
space group	P-1 (2)
E_tot	-4.230	eV per atom


(8)
## AcMg3Ru (PBE)

Data for crystalline AcMg3Ru at its relaxed geometry.

POSCAR file:
```
AcMg3Ru
1.0
4.772 0.000 0.000
0.000 4.819 0.000
0.000 -2.409 5.619
Mg Ac Ru
3 1 1
Cartesian
2.386 2.409 2.663 Mg
0.000 0.000 3.049 Mg
0.000 2.409 0.410 Mg
2.386 0.000 0.209 Ac
2.386 0.000 4.458 Ru
```

magnetic moment	0.000	μB per formula unit
formation energy from the elements	0.06	eV/atom
space group	Amm2 (38)
E_tot	-3.573	eV per atom
energy relative to the lowest polymorph listed for this composition	0.146	eV/atom